Record 1
Here is crystalline PmThSb2Pd2 at its relaxed geometry from the Alexandria database. Energies are from PBE.

Cell: 4.5559 4.5559 8.1722 Å, 90.00 90.00 120.00°
Closest atoms and distances in Å follow each position.
Space group P-3m1 (No. 164)
Inequivalent atoms, fractional coordinates:
Pm (0.0000, 0.0000, 0.0000) [1 per cell]  6 Sb 3.26, 6 Pd 3.47
Th (0.0000, 0.0000, 0.5000) [1 per cell]  6 Pd 3.20, 6 Sb 3.41
Sb (0.3333, 0.6667, 0.7648) [2 per cell]  3 Pd 2.65
Pd (0.3333, 0.6667, 0.2776) [2 per cell]  3 Sb 2.65

Calculated values
DFT total energy	-36.8	eV/cell
calculated density	9.42	g/cm3
E_form (uncorrected)	-1.004	eV per atom

---

Record 2
Here is crystalline TbPr2Ho3Sb6 at its relaxed geometry from the Alexandria database. Energies are from PBE.

Cell: 19.3344 4.4405 8.8717 Å, 90.00 103.18 90.00°
Closest atoms and distances in Å follow each position.
Space group C2/m (No. 12)
Inequivalent atoms, fractional coordinates:
Tb (0.0000, 0.0000, 0.0000) [2 per cell]  6 Sb 3.14-3.15
Pr (0.1658, 0.5000, 0.3323) [4 per cell]  6 Sb 3.19-3.20
Ho (0.0000, 0.0000, 0.5000) [2 per cell]  6 Sb 3.09-3.13
Ho (0.1678, 0.5000, 0.8338) [4 per cell]  6 Sb 3.09-3.12
Sb (0.0034, 0.5000, 0.7504) [4 per cell]  3 Ho 3.09-3.13, 2 Tb 3.15, 1 Pr 3.19
Sb (0.1641, 0.0000, 0.5900) [4 per cell]  3 Ho 3.09, 3 Pr 3.19-3.20
Sb (0.1666, 0.0000, 0.0747) [4 per cell]  3 Ho 3.09-3.12, 1 Tb 3.14, 2 Pr 3.19

Calculated values
DFT total energy	-132.7	eV/cell
calculated density	7.46	g/cm3
E_form (uncorrected)	-1.139	eV per atom

---

Record 3
Here is crystalline BaAcAu2 at its relaxed geometry from the Alexandria database. Energies are from PBE.

Cell: 3.9671 3.9671 7.9948 Å, 90.00 90.00 90.00°
Closest atoms and distances in Å follow each position.
Space group P4/mmm (No. 123)
Inequivalent atoms, fractional coordinates:
Ba (0.0000, 0.0000, 0.0000) [1 per cell]  8 Au 3.60, 4 Ba 3.97, 2 Ac 4.00
Ac (0.0000, 0.0000, 0.5000) [1 per cell]  8 Au 3.30
Au (0.5000, 0.5000, 0.2822) [2 per cell]  4 Ac 3.30, 1 Au 3.48, 4 Ba 3.60

Calculated values
DFT total energy	-15.5	eV/cell
calculated density	10.01	g/cm3

---

Record 4
Here is crystalline Ca2TaTc at its relaxed geometry from the Alexandria database. Energies are from PBE.

Cell: 2.8804 5.1699 5.6960 Å, 90.00 90.00 90.00°
Closest atoms and distances in Å follow each position.
Space group Pmmm (No. 47)
Inequivalent atoms, fractional coordinates:
Ca (0.0000, 0.0000, 0.2445) [2 per cell]  4 Ca 2.79-2.91
Ta (0.5000, 0.5000, 0.5000) [1 per cell]  2 Tc 2.85, 2 Ta 2.88
Tc (0.5000, 0.5000, 0.0000) [1 per cell]  2 Ta 2.85, 2 Tc 2.88

Calculated values
DFT total energy	-23.3	eV/cell
calculated density	7.03	g/cm3

---

Record 5
Here is crystalline LaMg11Pt at its relaxed geometry from the Alexandria database. Energies are from PBE.

Cell: 5.6364 14.4869 7.7056 Å, 90.00 110.13 90.00°
Closest atoms and distances in Å follow each position.
Space group C2/m (No. 12)
Inequivalent atoms, fractional coordinates:
La (0.0000, 0.0000, 0.0000) [2 per cell]  18 Mg 3.54-3.89, 2 Pt 3.91
Mg (0.0000, 0.0000, 0.5000) [2 per cell]  2 Pt 2.82, 8 Mg 2.93-3.01
Mg (0.0968, 0.3974, 0.2226) [8 per cell]  1 Pt 2.81, 5 Mg 2.93-3.04
Mg (0.1917, 0.1688, 0.3629) [8 per cell]  1 Pt 2.98, 7 Mg 3.00-3.29
Mg (0.2500, 0.2500, 0.0000) [4 per cell]  8 Mg 2.82-3.15
Pt (0.0000, 0.5000, 0.5000) [2 per cell]  10 Mg 2.81-2.98

Calculated values
DFT total energy	-62.8	eV/cell
calculated density	3.38	g/cm3

---

Record 6
Here is crystalline CsIn2Si at its relaxed geometry from the Alexandria database. Energies are from PBE.

Cell: 4.4741 4.4741 24.3607 Å, 90.00 90.00 120.00°
Closest atoms and distances in Å follow each position.
Space group R-3m (No. 166, hexagonal axes)
Inequivalent atoms, fractional coordinates:
Cs (0.0000, 0.0000, 0.0000) [3 per cell]  6 In 3.87
In (0.0000, 0.0000, 0.2153) [6 per cell]  3 Si 2.84
Si (0.0000, 0.0000, 0.5000) [3 per cell]  6 In 2.84

Calculated values
DFT total energy	-34.4	eV/cell
calculated density	4.61	g/cm3
E_form (uncorrected)	0.074	eV per atom

---

Record 7
Here is crystalline Tb2SmCd at its relaxed geometry from the Alexandria database. Energies are from PBE.

Cell: 7.7486 7.7486 7.7486 Å, 90.00 90.00 90.00°
Closest atoms and distances in Å follow each position.
Space group Fm-3m (No. 225)
Inequivalent atoms, fractional coordinates:
Tb (0.2500, 0.2500, 0.2500) [8 per cell]  4 Cd 3.36, 4 Sm 3.36
Sm (0.0000, 0.0000, 0.0000) [4 per cell]  8 Tb 3.36
Cd (0.0000, 0.0000, 0.5000) [4 per cell]  8 Tb 3.36

Calculated values
DFT total energy	-59.7	eV/cell
calculated density	8.29	g/cm3

---

Record 8
Here is crystalline H2Pt3 at its relaxed geometry from the Alexandria database. Energies are from PBE.

Cell: 5.1663 5.1663 14.2304 Å, 90.00 90.00 120.00°
Closest atoms and distances in Å follow each position.
Space group R-3c (No. 167, hexagonal axes)
Inequivalent atoms, fractional coordinates:
H (0.0000, 0.0000, 0.0854) [12 per cell]  3 Pt 1.78
Pt (0.0000, 0.3138, 0.2500) [18 per cell]  2 H 1.78

Calculated values
DFT total energy	-145.5	eV/cell
calculated density	17.79	g/cm3

---

Record 9
Here is crystalline ZrRuAu at its relaxed geometry from the Alexandria database. Energies are from PBE.

Cell: 6.2974 6.2974 6.2974 Å, 90.00 90.00 90.00°
Closest atoms and distances in Å follow each position.
Space group F-43m (No. 216)
Inequivalent atoms, fractional coordinates:
Zr (0.0000, 0.0000, 0.0000) [4 per cell]  4 Ru 2.73
Ru (0.2500, 0.2500, 0.7500) [4 per cell]  4 Zr 2.73, 4 Au 2.73
Au (0.0000, 0.0000, 0.5000) [4 per cell]  4 Ru 2.73

Calculated values
DFT total energy	-83.3	eV/cell
calculated density	10.35	g/cm3

---

Record 10
Here is crystalline Y2AlRe at its relaxed geometry from the Alexandria database. Energies are from PBE.

Cell: 3.5683 3.5683 6.9715 Å, 90.00 90.00 90.00°
Closest atoms and distances in Å follow each position.
Space group P4/mmm (No. 123)
Inequivalent atoms, fractional coordinates:
Y (0.0000, 0.0000, 0.2314) [2 per cell]  4 Re 2.99, 4 Al 3.14, 1 Y 3.23
Al (0.5000, 0.5000, 0.5000) [1 per cell]  8 Y 3.14, 2 Re 3.49
Re (0.5000, 0.5000, 0.0000) [1 per cell]  8 Y 2.99

Calculated values
DFT total energy	-29.2	eV/cell
calculated density	7.31	g/cm3

---

Record 11
Here is crystalline KLaCO4 at its relaxed geometry from the Alexandria database. Energies are from PBE.

Cell: 3.6799 4.7715 12.1489 Å, 90.00 90.00 90.00°
Closest atoms and distances in Å follow each position.
Space group Pmmn (No. 59, origin choice 2)
Inequivalent atoms, fractional coordinates:
K (0.2500, 0.2500, 0.1073) [2 per cell]  1 O 2.65
La (0.2500, 0.2500, 0.4037) [2 per cell]  4 O 2.30-2.57
C (0.2500, 0.2500, 0.7819) [2 per cell]  3 O 1.30
O (0.2500, 0.0133, 0.7292) [4 per cell]  1 C 1.30
O (0.2500, 0.2500, 0.8893) [2 per cell]  1 C 1.30
O (0.2500, 0.7500, 0.4820) [2 per cell]  4 La 2.30-2.57

Calculated values
DFT total energy	-102.6	eV/cell
calculated density	3.95	g/cm3
E_form (uncorrected)	-2.318	eV per atom

---

Record 12
Here is crystalline MgZrPt2 at its relaxed geometry from the Alexandria database. Energies are from PBE.

Cell: 6.5879 9.2135 4.7141 Å, 90.00 90.00 90.00°
Closest atoms and distances in Å follow each position.
Space group Cmcm (No. 63)
Inequivalent atoms, fractional coordinates:
Mg (0.0000, 0.1124, 0.2500) [4 per cell]  8 Pt 2.81-2.96, 2 Mg 3.14
Zr (0.0000, 0.3607, 0.7500) [4 per cell]  8 Pt 2.81-2.85
Pt (0.2297, 0.3771, 0.2500) [8 per cell]  4 Zr 2.81-2.85, 4 Mg 2.81-2.96, 1 Pt 3.03

Calculated values
DFT total energy	-104.1	eV/cell
calculated density	11.74	g/cm3

---

Record 13
Here is crystalline Ba2NbGaCl at its relaxed geometry from the Alexandria database. Energies are from PBE.

Cell: 6.4363 6.4363 5.1603 Å, 90.00 90.00 90.00°
Closest atoms and distances in Å follow each position.
Space group P4/mmm (No. 123)
Inequivalent atoms, fractional coordinates:
Ba (0.0000, 0.5000, 0.0000) [2 per cell]  2 Ga 3.22
Nb (0.0000, 0.0000, 0.5000) [1 per cell]  8 Ba 4.12, 4 Cl 4.55
Ga (0.5000, 0.5000, 0.0000) [1 per cell]  2 Cl 2.58
Cl (0.5000, 0.5000, 0.5000) [1 per cell]  2 Ga 2.58

Calculated values
DFT total energy	-16.1	eV/cell
calculated density	3.67	g/cm3
E_form (uncorrected)	0.535	eV per atom

---

Record 14
Here is crystalline CaTmGa2Au5 at its relaxed geometry from the Alexandria database. Energies are from PBE.

Cell: 4.4971 4.4971 8.9838 Å, 90.00 90.00 90.00°
Closest atoms and distances in Å follow each position.
Space group P4/mmm (No. 123)
Inequivalent atoms, fractional coordinates:
Ca (0.0000, 0.0000, 0.0000) [1 per cell]  12 Au 3.06-3.18
Tm (0.0000, 0.0000, 0.5000) [1 per cell]  8 Au 3.30, 8 Ga 3.40
Ga (0.5000, 0.5000, 0.3664) [2 per cell]  1 Ga 2.40, 4 Au 2.56
Au (0.0000, 0.5000, 0.2313) [4 per cell]  2 Ga 2.56
Au (0.5000, 0.5000, 0.0000) [1 per cell]  8 Au 3.06, 4 Ca 3.18, 2 Ga 3.29

Calculated values
DFT total energy	-33.5	eV/cell
calculated density	12.19	g/cm3